(1)
Here is an optimized crystal structure of TlCr2Te from the Alexandria database. Energies are from GGA-PBE.

Cell lengths 8.5257, 3.7442, 5.8731 Å; angles 90.00, 105.89, 90.00 degrees
Space group C2/m (No. 12)
One atom of each set of equivalent atoms:
1 Tl 0.0000 0.0000 0.0000 [2 per cell]
2 Cr 0.2446 0.0000 0.7525 [4 per cell]
3 Te 0.0000 0.5000 0.5000 [2 per cell]

Values from the calculation:
magnetic moment	16.09	μB per cell
energy above the most stable polymorph in this dataset	165	meV per atom
E_form (uncorrected)	0.506	eV/atom
uncorrected energy	-5.68	eV per atom

=====

(2)
Here is an optimized crystal structure of NbP3H from the Alexandria database. Energies are from GGA-PBE.

Cell lengths 4.8203, 4.8203, 4.8203 Å; angles 90.00, 90.00, 90.00 degrees
Space group Pm-3m (No. 221)
One atom of each set of equivalent atoms:
1 Nb 0.0000 0.0000 0.0000 [1 per cell]
2 P 0.0000 0.0000 0.5000 [3 per cell]
3 H 0.5000 0.5000 0.5000 [1 per cell]

Values from the calculation:
magnetic moment	0.33	μB per cell
uncorrected energy	-5.10	eV per atom

=====

(3)
Here is an optimized crystal structure of BaCd2Au2 from the Alexandria database. Energies are from GGA-PBE.

Cell lengths 8.5825, 8.5825, 3.3079 Å; angles 90.00, 90.00, 90.00 degrees
Space group P4/mbm (No. 127)
One atom of each set of equivalent atoms:
1 Ba 0.0000 0.0000 0.0000 [2 per cell]
2 Cd 0.1192 0.3808 0.0000 [4 per cell]
3 Au 0.1769 0.6769 0.5000 [4 per cell]

Values from the calculation:
magnetic moment	0.00	μB per cell
energy above the most stable polymorph in this dataset	237	meV per atom
uncorrected energy	-2.34	eV per atom
DFT formation energy	-0.2735	eV/atom

=====

(4)
Here is an optimized crystal structure of RbTlGeIr from the Alexandria database. Energies are from GGA-PBE.

Cell lengths 4.2861, 4.2861, 13.5695 Å; angles 90.00, 90.00, 90.00 degrees
Space group P4/nmm (No. 129, origin choice 2)
One atom of each set of equivalent atoms:
1 Rb 0.2500 0.2500 0.2322 [2 per cell]
2 Tl 0.2500 0.7500 0.5000 [2 per cell]
3 Ge 0.2500 0.2500 0.9082 [2 per cell]
4 Ir 0.2500 0.7500 0.0000 [2 per cell]

Values from the calculation:
magnetic moment	0.00	μB per cell
uncorrected energy	-4.36	eV per atom
DFT formation energy	-0.1552	eV/atom

=====

(5)
Here is an optimized crystal structure of TiGaRh2 from the Alexandria database. Energies are from GGA-PBE.

Cell lengths 4.1420, 4.1420, 3.3661 Å; angles 90.00, 90.00, 90.00 degrees
Space group P4/mmm (No. 123)
One atom of each set of equivalent atoms:
1 Ti 0.0000 0.0000 0.0000 [1 per cell]
2 Ga 0.5000 0.5000 0.0000 [1 per cell]
3 Rh 0.0000 0.5000 0.5000 [2 per cell]

Values from the calculation:
magnetic moment	0.00	μB per cell
uncorrected energy	-7.19	eV per atom
DFT formation energy	-0.7875	eV/atom

=====

(6)
Here is an optimized crystal structure of Rb3Sb2Pd4 from the Alexandria database. Energies are from GGA-PBE.

Cell lengths 12.9360, 4.5881, 9.5168 Å; angles 90.00, 110.36, 90.00 degrees
Space group C2/m (No. 12)
One atom of each set of equivalent atoms:
1 Rb 0.0000 0.0000 0.0000 [2 per cell]
2 Rb 0.1296 0.5000 0.3733 [4 per cell]
3 Sb 0.1755 0.5000 0.7776 [4 per cell]
4 Pd 0.0863 0.0000 0.6407 [4 per cell]
5 Pd 0.2430 0.5000 0.0789 [4 per cell]

Values from the calculation:
magnetic moment	0.00	μB per cell
E_form (uncorrected)	-0.341	eV/atom
uncorrected energy	-3.89	eV per atom

=====

(7)
Here is an optimized crystal structure of Dy3Al3Cu8 from the Alexandria database. Energies are from GGA-PBE.

Cell lengths 4.2075, 8.7439, 12.6129 Å; angles 90.00, 90.00, 90.00 degrees
Space group Immm (No. 71)
One atom of each set of equivalent atoms:
1 Dy 0.0000 0.0000 0.0000 [2 per cell]
2 Dy 0.0000 0.0000 0.2936 [4 per cell]
3 Al 0.0000 0.2062 0.5000 [4 per cell]
4 Al 0.0000 0.5000 0.0000 [2 per cell]
5 Cu 0.0000 0.2856 0.1295 [8 per cell]
6 Cu 0.0000 0.3550 0.3323 [8 per cell]

Values from the calculation:
magnetic moment	0.00	μB per cell
uncorrected energy	-4.44	eV per atom
DFT formation energy	-0.3095	eV/atom

=====

(8)
Here is an optimized crystal structure of CeNd2Gd from the Alexandria database. Energies are from GGA-PBE.

Cell lengths 5.1079, 5.1079, 5.1097 Å; angles 90.00, 90.00, 90.00 degrees
Space group P4/mmm (No. 123)
One atom of each set of equivalent atoms:
1 Ce 0.0000 0.0000 0.0000 [1 per cell]
2 Nd 0.0000 0.5000 0.5000 [2 per cell]
3 Gd 0.5000 0.5000 0.0000 [1 per cell]

Values from the calculation:
magnetic moment	8.05	μB per cell
energy above the most stable polymorph in this dataset	16	meV per atom
uncorrected energy	-7.31	eV per atom
DFT formation energy	0.0785	eV/atom

=====

(9)
Here is an optimized crystal structure of MgCrFe from the Alexandria database. Energies are from GGA-PBE.

Cell lengths 2.8466, 2.8466, 9.8513 Å; angles 90.00, 90.00, 90.00 degrees
Space group I4mm (No. 107)
One atom of each set of equivalent atoms:
1 Mg 0.0000 0.0000 0.0000 [2 per cell]
2 Cr 0.0000 0.0000 0.6970 [2 per cell]
3 Fe 0.0000 0.0000 0.3155 [2 per cell]

Values from the calculation:
magnetic moment	0.00	μB per cell
energy above the most stable polymorph in this dataset	0	meV per atom
uncorrected energy	-6.30	eV per atom
DFT formation energy	0.2625	eV/atom

=====

(10)
Here is an optimized crystal structure of CaMgZr2 from the Alexandria database. Energies are from GGA-PBE.

Cell lengths 3.3462, 5.2433, 11.4988 Å; angles 90.00, 90.00, 90.00 degrees
Space group Cmmm (No. 65)
One atom of each set of equivalent atoms:
1 Ca 0.0000 0.0000 0.0000 [2 per cell]
2 Mg 0.0000 0.0000 0.5000 [2 per cell]
3 Zr 0.0000 0.5000 0.2636 [4 per cell]

Values from the calculation:
magnetic moment	0.00	μB per cell
uncorrected energy	-4.89	eV per atom
DFT formation energy	0.2843	eV/atom

=====

(11)
Here is an optimized crystal structure of Na6Cd10In from the Alexandria database. Energies are from GGA-PBE.

Cell lengths 9.0093, 9.0093, 6.1773 Å; angles 90.00, 90.00, 120.00 degrees
Space group P-31m (No. 162)
One atom of each set of equivalent atoms:
1 Na 0.0000 0.3697 0.3108 [6 per cell]
2 Cd 0.0000 0.2694 0.8331 [6 per cell]
3 Cd 0.3333 0.6667 0.0000 [2 per cell]
4 Cd 0.3333 0.6667 0.5000 [2 per cell]
5 In 0.0000 0.0000 0.5000 [1 per cell]

Values from the calculation:
magnetic moment	0.00	μB per cell
uncorrected energy	-1.19	eV per atom
DFT formation energy	-0.0246	eV/atom

=====

(12)
Here is an optimized crystal structure of Pa2BeB3 from the Alexandria database. Energies are from GGA-PBE.

Cell lengths 3.4394, 3.8645, 11.8489 Å; angles 90.00, 90.00, 90.00 degrees
Space group Imm2 (No. 44)
One atom of each set of equivalent atoms:
1 Pa 0.0000 0.0000 0.0000 [2 per cell]
2 Pa 0.0000 0.5000 0.2625 [2 per cell]
3 Be 0.0000 0.0000 0.5879 [2 per cell]
4 B 0.0000 0.0000 0.4161 [2 per cell]
5 B 0.0000 0.5000 0.6797 [2 per cell]
6 B 0.0000 0.5000 0.8350 [2 per cell]

Values from the calculation:
magnetic moment	0.00	μB per cell
energy above the most stable polymorph in this dataset	173	meV per atom
uncorrected energy	-7.42	eV per atom
DFT formation energy	-0.2977	eV/atom

=====

Copy entry 12 word for word.
Here is an optimized crystal structure of Pa2BeB3 from the Alexandria database. Energies are from GGA-PBE.

Cell lengths 3.4394, 3.8645, 11.8489 Å; angles 90.00, 90.00, 90.00 degrees
Space group Imm2 (No. 44)
One atom of each set of equivalent atoms:
1 Pa 0.0000 0.0000 0.0000 [2 per cell]
2 Pa 0.0000 0.5000 0.2625 [2 per cell]
3 Be 0.0000 0.0000 0.5879 [2 per cell]
4 B 0.0000 0.0000 0.4161 [2 per cell]
5 B 0.0000 0.5000 0.6797 [2 per cell]
6 B 0.0000 0.5000 0.8350 [2 per cell]

Values from the calculation:
magnetic moment	0.00	μB per cell
energy above the most stable polymorph in this dataset	173	meV per atom
uncorrected energy	-7.42	eV per atom
DFT formation energy	-0.2977	eV/atom